A relaxed TmMnZn17 crystal. Source: Alexandria via LeMat-Bulk, functional PBE-GGA.

Cell: 6.7537 6.7537 6.7537 Å, 81.91 81.91 81.91°
Closest atoms and distances in Å follow each position.
Fractional coordinates of all 19 atoms:
Zn  0.3031  0.0077  0.6803  8 Zn 2.59-2.90
Zn  0.6803  0.3031  0.0077  8 Zn 2.59-2.90
Zn  0.1011  0.1011  0.1011  7 Zn 2.67-2.79
Zn  0.0077  0.6803  0.3031  8 Zn 2.59-2.90
Zn  0.6494  0.6494  0.1674  8 Zn 2.51-2.75
Zn  0.3031  0.6803  0.0077  8 Zn 2.59-2.90
Zn  0.6803  0.0077  0.3031  8 Zn 2.59-2.90
Zn  0.5000  0.9868  0.9868  10 Zn 2.57-2.73
Zn  0.1674  0.6494  0.6494  8 Zn 2.51-2.75
Zn  0.6494  0.1674  0.6494  8 Zn 2.51-2.75
Zn  0.3466  0.3466  0.8381  9 Zn 2.51-2.79
Mn  0.3860  0.3860  0.3860  12 Zn 2.81-3.07
Zn  0.8995  0.8995  0.8995  7 Zn 2.67-2.84
Zn  0.0077  0.3031  0.6803  8 Zn 2.59-2.90
Zn  0.9868  0.9868  0.5000  10 Zn 2.57-2.73
Tm  0.6602  0.6602  0.6602  19 Zn 3.12-3.41
Zn  0.9868  0.5000  0.9868  10 Zn 2.57-2.73
Zn  0.3466  0.8381  0.3466  9 Zn 2.51-2.79
Zn  0.8381  0.3466  0.3466  9 Zn 2.51-2.79

Final energy   -1.91 eV/atom
N(E_F)   5.44 states/eV/cell
ΔH_f (0 K)   -0.055 eV/atom